(1)
Computed, not measured: an optimized crystal structure of Sm4PSe2I at the PBE level of DFT.

Lattice parameters (Å, degrees): 7.239 4.208 7.523 90.00 109.08 90.00
Atoms (fractional coordinates):
Sm: 0.234 0.000 0.206
Sm: 0.259 0.500 0.786
Sm: 0.741 0.500 0.214
Sm: 0.766 0.000 0.794
P: 0.500 0.000 0.000
Se: 0.000 0.000 0.500
Se: 0.000 0.500 0.000
I: 0.500 0.500 0.500

Calculated values
The calculation puts the raw formation energy at -1.52 eV per atom. Its crystal system is monoclinic. Its density of states at the Fermi level is 3.4 states/eV/f.u.


(2)
Computed, not measured: an optimized crystal structure of Sm6P2Se3I at the PBE level of DFT.

Lattice parameters (Å, degrees): 9.352 9.352 8.497 102.00 102.00 25.83
Atoms (fractional coordinates):
Sm: 0.012 0.012 0.286
Sm: 0.320 0.320 0.881
Sm: 0.329 0.329 0.427
Sm: 0.671 0.671 0.573
Sm: 0.680 0.680 0.119
Sm: 0.988 0.988 0.714
P: 0.169 0.169 0.338
P: 0.831 0.831 0.662
Se: 0.158 0.158 0.839
Se: 0.500 0.500 0.500
Se: 0.842 0.842 0.161
I: 0.500 0.500 0.000

Calculated values
The calculation puts the raw formation energy at -1.61 eV per atom. Its crystal system is monoclinic. Its density of states at the Fermi level is 4.6 states/eV/f.u.